(1)
Computed, not measured: Sm16Dy7Er6 after structural relaxation at the PBE level of DFT.

Cell: 11.210 11.210 11.210 Å, 60.00 60.00 60.00°
Atoms (fractional coordinates):
Dy  0.500  0.000  0.000
Dy  0.000  0.500  0.000
Dy  0.500  0.000  0.500
Dy  0.000  0.500  0.500
Dy  0.500  0.500  0.000
Dy  0.000  0.000  0.000
Dy  0.000  0.000  0.500
Sm  0.125  0.626  0.125
Sm  0.051  0.650  0.650
Sm  0.350  0.350  0.949
Sm  0.350  0.350  0.350
Sm  0.374  0.875  0.875
Sm  0.650  0.650  0.650
Sm  0.650  0.051  0.650
Sm  0.875  0.875  0.374
Sm  0.125  0.125  0.125
Sm  0.875  0.875  0.875
Sm  0.949  0.350  0.350
Sm  0.350  0.949  0.350
Sm  0.626  0.125  0.125
Sm  0.125  0.125  0.626
Sm  0.875  0.374  0.875
Sm  0.650  0.650  0.051
Er  0.733  0.267  0.733
Er  0.267  0.733  0.733
Er  0.267  0.267  0.733
Er  0.267  0.733  0.267
Er  0.733  0.267  0.267
Er  0.733  0.733  0.267

Computed properties:
- DOS(E_F) (states/eV/atom) = 1.458
- space group = Fm-3m


(2)
Computed, not measured: Sm14DyEr after structural relaxation at the PBE level of DFT.

Cell: 7.239 7.239 10.200 Å, 90.00 90.00 90.00°
Atoms (fractional coordinates):
Sm  0.875  0.625  0.500
Sm  0.125  0.875  0.248
Sm  0.375  0.125  0.500
Sm  0.625  0.375  0.752
Sm  0.125  0.375  0.752
Sm  0.875  0.625  0.000
Sm  0.625  0.875  0.752
Sm  0.125  0.875  0.752
Sm  0.375  0.625  0.500
Sm  0.125  0.375  0.248
Sm  0.875  0.125  0.500
Sm  0.625  0.375  0.248
Sm  0.375  0.125  0.000
Sm  0.625  0.875  0.248
Er  0.375  0.625  0.000
Dy  0.875  0.125  0.000

Computed properties:
- DOS(E_F) (states/eV/atom) = 1.459
- space group = P4/mmm


Computed values of energy of formation (unit: eV/atom) for the preceding records, in sequence: 0.222; 0.016.